DFT (GGA-PBE) results for a relaxed RuPt3N crystal.

```
data_RuPt3N
_symmetry_space_group_name_H-M 'P m -3 m'
_symmetry_Int_Tables_number 221
_symmetry_space_group_name_Hall '-P 4 2 3'
_cell_length_a 4.819
_cell_length_b 4.819
_cell_length_c 4.819
_cell_angle_alpha 90.00
_cell_angle_beta 90.00
_cell_angle_gamma 90.00
loop_
_atom_site_label
_atom_site_type_symbol
_atom_site_fract_x
_atom_site_fract_y
_atom_site_fract_z
_atom_site_occupancy
Ru1 Ru 0.000 0.000 0.000 1
Pt1 Pt 0.000 0.000 0.500 1
N1 N 0.500 0.500 0.500 1
```

Summary:
**Formation energy from raw total energies**: 2376.9 meV per atom
**Crystal system**: cubic
**VASP energy**: -4.768 eV per atom
**Energy relative to the lowest polymorph listed for this composition**: 1566 meV/atom
**Size of the total moment**: 0.555 μB/atom

DFT (GGA-PBE) results for a relaxed ScRu2PtN crystal.

```
data_ScRu2PtN
_symmetry_space_group_name_H-M 'P 4/m m m'
_symmetry_Int_Tables_number 123
_symmetry_space_group_name_Hall '-P 4 2'
_cell_length_a 5.059
_cell_length_b 5.059
_cell_length_c 3.635
_cell_angle_alpha 90.00
_cell_angle_beta 90.00
_cell_angle_gamma 90.00
loop_
_atom_site_label
_atom_site_type_symbol
_atom_site_fract_x
_atom_site_fract_y
_atom_site_fract_z
_atom_site_occupancy
Sc1 Sc 0.000 0.000 0.000 1
Ru1 Ru 0.000 0.500 0.500 1
Pt1 Pt 0.500 0.500 0.500 1
N1 N 0.500 0.500 0.000 1
```

Summary:
**Formation energy from raw total energies**: 1123.4 meV per atom
**Crystal system**: tetragonal
**VASP energy**: -6.726 eV per atom
**Size of the total moment**: 0.637 μB/atom

DFT (GGA-PBE) results for a relaxed SnRuPt2N crystal.

```
data_SnRuPt2N
_symmetry_space_group_name_H-M 'P 4/m m m'
_symmetry_Int_Tables_number 123
_symmetry_space_group_name_Hall '-P 4 2'
_cell_length_a 4.951
_cell_length_b 4.951
_cell_length_c 5.063
_cell_angle_alpha 90.00
_cell_angle_beta 90.00
_cell_angle_gamma 90.00
loop_
_atom_site_label
_atom_site_type_symbol
_atom_site_fract_x
_atom_site_fract_y
_atom_site_fract_z
_atom_site_occupancy
Sn1 Sn 0.000 0.000 0.000 1
Ru1 Ru 0.000 0.000 0.500 1
Pt1 Pt 0.000 0.500 0.000 1
N1 N 0.500 0.500 0.500 1
```

Summary:
**Formation energy from raw total energies**: 2349.6 meV per atom
**Crystal system**: tetragonal
**VASP energy**: -4.387 eV per atom
**Size of the total moment**: 0.897 μB/atom

DFT (GGA-PBE) results for a relaxed Tc2RuPtN crystal.

```
data_Tc2RuPtN
_symmetry_space_group_name_H-M 'P 4/m m m'
_symmetry_Int_Tables_number 123
_symmetry_space_group_name_Hall '-P 4 2'
_cell_length_a 4.030
_cell_length_b 4.030
_cell_length_c 4.057
_cell_angle_alpha 90.00
_cell_angle_beta 90.00
_cell_angle_gamma 90.00
loop_
_atom_site_label
_atom_site_type_symbol
_atom_site_fract_x
_atom_site_fract_y
_atom_site_fract_z
_atom_site_occupancy
Tc1 Tc 0.000 0.500 0.000 1
Ru1 Ru 0.000 0.000 0.500 1
Pt1 Pt 0.500 0.500 0.500 1
N1 N 0.000 0.000 0.000 1
```

Summary:
**Formation energy from raw total energies**: 33.4 meV per atom
**Crystal system**: tetragonal
**VASP energy**: -8.841 eV per atom
**Size of the total moment**: 0.000 μB/atom

DFT (GGA-PBE) results for a relaxed Te2RuPtN crystal.

```
data_Te2RuPtN
_symmetry_space_group_name_H-M 'P 4/m m m'
_symmetry_Int_Tables_number 123
_symmetry_space_group_name_Hall '-P 4 2'
_cell_length_a 5.443
_cell_length_b 5.443
_cell_length_c 3.625
_cell_angle_alpha 90.00
_cell_angle_beta 90.00
_cell_angle_gamma 90.00
loop_
_atom_site_label
_atom_site_type_symbol
_atom_site_fract_x
_atom_site_fract_y
_atom_site_fract_z
_atom_site_occupancy
Te1 Te 0.000 0.500 0.000 1
Ru1 Ru 0.000 0.000 0.500 1
Pt1 Pt 0.500 0.500 0.000 1
N1 N 0.500 0.500 0.500 1
```

Summary:
**Formation energy from raw total energies**: 945.3 meV per atom
**Crystal system**: tetragonal
**VASP energy**: -5.040 eV per atom
**Energy relative to the lowest polymorph listed for this composition**: 496 meV/atom
**Size of the total moment**: 0.228 μB/atom

DFT (GGA-PBE) results for a relaxed Te2RuPtN crystal.

```
data_Te2RuPtN
_symmetry_space_group_name_H-M 'P 4/m m m'
_symmetry_Int_Tables_number 123
_symmetry_space_group_name_Hall '-P 4 2'
_cell_length_a 5.314
_cell_length_b 5.314
_cell_length_c 3.600
_cell_angle_alpha 90.00
_cell_angle_beta 90.00
_cell_angle_gamma 90.00
loop_
_atom_site_label
_atom_site_type_symbol
_atom_site_fract_x
_atom_site_fract_y
_atom_site_fract_z
_atom_site_occupancy
Te1 Te 0.000 0.500 0.000 1
Ru1 Ru 0.000 0.000 0.000 1
Pt1 Pt 0.500 0.500 0.500 1
N1 N 0.000 0.000 0.500 1
```

Summary:
**Formation energy from raw total energies**: 449.1 meV per atom
**Crystal system**: tetragonal
**VASP energy**: -5.536 eV per atom
**Energy relative to the lowest polymorph listed for this composition**: 0 meV/atom
**Size of the total moment**: 0.000 μB/atom

DFT (GGA-PBE) results for a relaxed TeRuPtN2 crystal.

```
data_TeRuPtN2
_symmetry_space_group_name_H-M 'P 4/m m m'
_symmetry_Int_Tables_number 123
_symmetry_space_group_name_Hall '-P 4 2'
_cell_length_a 3.741
_cell_length_b 3.741
_cell_length_c 7.981
_cell_angle_alpha 90.00
_cell_angle_beta 90.00
_cell_angle_gamma 90.00
loop_
_atom_site_label
_atom_site_type_symbol
_atom_site_fract_x
_atom_site_fract_y
_atom_site_fract_z
_atom_site_occupancy
Te1 Te 0.000 0.000 0.000 1
Ru1 Ru 0.500 0.500 0.000 1
Pt1 Pt 0.000 0.000 0.500 1
N1 N 0.000 0.500 0.500 1
```

Summary:
**Formation energy from raw total energies**: 1432.4 meV per atom
**Crystal system**: tetragonal
**VASP energy**: -5.589 eV per atom
**Energy relative to the lowest polymorph listed for this composition**: 627 meV/atom
**Size of the total moment**: 0.195 μB/atom

DFT (GGA-PBE) results for a relaxed TeRuPtN2 crystal.

```
data_TeRuPtN2
_symmetry_space_group_name_H-M 'P 4/m m m'
_symmetry_Int_Tables_number 123
_symmetry_space_group_name_Hall '-P 4 2'
_cell_length_a 3.781
_cell_length_b 3.781
_cell_length_c 5.974
_cell_angle_alpha 90.00
_cell_angle_beta 90.00
_cell_angle_gamma 90.00
loop_
_atom_site_label
_atom_site_type_symbol
_atom_site_fract_x
_atom_site_fract_y
_atom_site_fract_z
_atom_site_occupancy
Te1 Te 0.000 0.000 0.000 1
Ru1 Ru 0.000 0.000 0.500 1
Pt1 Pt 0.500 0.500 0.000 1
N1 N 0.000 0.500 0.500 1
```

Summary:
**Formation energy from raw total energies**: 805.7 meV per atom
**Crystal system**: tetragonal
**VASP energy**: -6.216 eV per atom
**Energy relative to the lowest polymorph listed for this composition**: 0 meV/atom
**Size of the total moment**: 0.009 μB/atom

DFT (GGA-PBE) results for a relaxed V2RuPtN crystal.

```
data_V2RuPtN
_symmetry_space_group_name_H-M 'P 4/m m m'
_symmetry_Int_Tables_number 123
_symmetry_space_group_name_Hall '-P 4 2'
_cell_length_a 3.948
_cell_length_b 3.948
_cell_length_c 3.995
_cell_angle_alpha 90.00
_cell_angle_beta 90.00
_cell_angle_gamma 90.00
loop_
_atom_site_label
_atom_site_type_symbol
_atom_site_fract_x
_atom_site_fract_y
_atom_site_fract_z
_atom_site_occupancy
V1 V 0.000 0.500 0.000 1
Ru1 Ru 0.000 0.000 0.500 1
Pt1 Pt 0.500 0.500 0.500 1
N1 N 0.000 0.000 0.000 1
```

Summary:
**Formation energy from raw total energies**: -523.3 meV per atom
**Crystal system**: tetragonal
**VASP energy**: -8.899 eV per atom
**Size of the total moment**: 0.000 μB/atom

DFT (GGA-PBE) results for a relaxed Y2RuPtN crystal.

```
data_Y2RuPtN
_symmetry_space_group_name_H-M 'P 4/m m m'
_symmetry_Int_Tables_number 123
_symmetry_space_group_name_Hall '-P 4 2'
_cell_length_a 4.875
_cell_length_b 4.875
_cell_length_c 3.832
_cell_angle_alpha 90.00
_cell_angle_beta 90.00
_cell_angle_gamma 90.00
loop_
_atom_site_label
_atom_site_type_symbol
_atom_site_fract_x
_atom_site_fract_y
_atom_site_fract_z
_atom_site_occupancy
Y1 Y 0.000 0.500 0.000 1
Ru1 Ru 0.000 0.000 0.500 1
Pt1 Pt 0.500 0.500 0.500 1
N1 N 0.000 0.000 0.000 1
```

Summary:
**Formation energy from raw total energies**: -965.6 meV per atom
**Crystal system**: tetragonal
**VASP energy**: -8.280 eV per atom
**Size of the total moment**: 0.000 μB/atom

DFT (GGA-PBE) results for a relaxed ZrRuPtN2 crystal.

```
data_ZrRuPtN2
_symmetry_space_group_name_H-M 'P 4/m m m'
_symmetry_Int_Tables_number 123
_symmetry_space_group_name_Hall '-P 4 2'
_cell_length_a 3.802
_cell_length_b 3.802
_cell_length_c 5.378
_cell_angle_alpha 90.00
_cell_angle_beta 90.00
_cell_angle_gamma 90.00
loop_
_atom_site_label
_atom_site_type_symbol
_atom_site_fract_x
_atom_site_fract_y
_atom_site_fract_z
_atom_site_occupancy
Zr1 Zr 0.000 0.000 0.000 1
Ru1 Ru 0.500 0.500 0.000 1
Pt1 Pt 0.500 0.500 0.500 1
N1 N 0.000 0.500 0.500 1
```

Summary:
**Formation energy from raw total energies**: 1148.1 meV per atom
**Crystal system**: tetragonal
**VASP energy**: -6.955 eV per atom
**Size of the total moment**: 0.036 μB/atom

DFT (GGA-PBE) results for a relaxed Pt3SN crystal.

```
data_Pt3SN
_symmetry_space_group_name_H-M 'P m -3 m'
_symmetry_Int_Tables_number 221
_symmetry_space_group_name_Hall '-P 4 2 3'
_cell_length_a 4.214
_cell_length_b 4.214
_cell_length_c 4.214
_cell_angle_alpha 90.00
_cell_angle_beta 90.00
_cell_angle_gamma 90.00
loop_
_atom_site_label
_atom_site_type_symbol
_atom_site_fract_x
_atom_site_fract_y
_atom_site_fract_z
_atom_site_occupancy
Pt1 Pt 0.000 0.000 0.500 1
S1 S 0.500 0.500 0.500 1
N1 N 0.000 0.000 0.000 1
```

Summary:
**Formation energy from raw total energies**: 873.7 meV per atom
**Crystal system**: cubic
**VASP energy**: -5.241 eV per atom
**Energy relative to the lowest polymorph listed for this composition**: 0 meV/atom
**Size of the total moment**: 0.000 μB/atom